Below is an optimized crystal structure of TmThCoCu, with properties calculated at the PBE level.

Geometry as extended XYZ:
```
4
Lattice="-2.308 -0.109 -3.002 -2.850 -1.345 2.240 -0.514 5.402 2.589" Properties=species:S:1:pos:R:3 pbc="T T T"
Tm -0.496 1.591 0.324
Th -3.819 3.248 0.428
Co -1.352 4.335 0.882
Cu -2.826 0.066 -0.219
```

Mass density   10.400 g/cm³
E above lowest polymorph   0.000 eV/f.u.
VASP energy   -6.079 eV/atom
Formation energy   -0.31 eV per atom
Total moment   0.0 μB per formula unit

***

Below is an optimized crystal structure of BaHg2Pt, with properties calculated at the PBE level.

Geometry as extended XYZ:
```
4
Lattice="5.852 -0.049 0.000 2.051 5.481 0.000 -3.952 -2.716 3.355" Properties=species:S:1:pos:R:3 pbc="T T T"
Hg 0.000 0.000 0.000
Hg 3.952 2.716 0.000
Pt 1.026 2.740 1.678
Ba 2.926 -0.025 1.678
```

Mass density   11.285 g/cm³
VASP energy   -2.444 eV/atom
Formation energy   -0.30 eV per atom
Total moment   0.0 μB per formula unit

***

Below is an optimized crystal structure of Nd2CdS4, with properties calculated at the PBE level.

Geometry as extended XYZ:
```
14
Lattice="6.885 0.000 0.146 0.000 7.084 0.000 -2.367 0.000 7.393" Properties=species:S:1:pos:R:3 pbc="T T T"
Nd 4.710 5.313 0.489
Nd -0.192 1.771 7.050
Nd 0.935 1.771 3.362
Nd 3.583 5.313 4.178
Cd 1.139 5.313 1.393
Cd 3.379 1.771 6.146
S 2.883 3.501 1.940
S 4.818 5.313 6.594
S -0.300 1.771 0.945
S 2.883 0.041 1.940
S 5.399 1.771 4.724
S 1.636 7.043 5.599
S 1.636 3.583 5.599
S -0.881 5.313 2.815
```

Mass density   4.840 g/cm³
Energy relative to the elements, uncorrected   -1.480 eV/atom
E above lowest polymorph   0.572 eV/f.u.
VASP energy   -5.331 eV/atom
Total moment   0.0 μB per formula unit

***

Below is an optimized crystal structure of KRb2Na4, with properties calculated at the PBE level.

Geometry as extended XYZ:
```
7
Lattice="4.539 0.000 -0.599 0.000 4.511 0.000 0.221 0.000 19.174" Properties=species:S:1:pos:R:3 pbc="T T T"
K 2.270 0.000 -0.299
Rb 3.799 2.255 11.294
Rb 0.961 2.255 7.282
Na 4.407 2.255 15.895
Na 2.843 0.000 4.044
Na 0.354 2.255 2.680
Na 1.917 0.000 14.531
```

Mass density   1.275 g/cm³
E above lowest polymorph   0.000 eV/f.u.
VASP energy   -1.157 eV/atom
Formation energy   0.03 eV per atom
Total moment   0.0 μB per formula unit